Below is a relaxed GdPuPd4 crystal, with properties calculated at the PBE level.

Results
* magnetization: 13.39 μB per formula unit
* calculated volume: 34.81 Å³/atom
* ΔE_f: 3.8 eV per formula unit
* final energy: -7.563 eV/atom

a = 6.6600 Å, b = 6.6600 Å, c = 6.6600 Å
α = 60.00°, β = 60.00°, γ = 60.00°
Last column: nearest neighbours and their distance in Å.
Atoms (fractional coordinates):
Pd 0.8493 0.8493 0.4522  1 Gd 2.46, 3 Pd 2.64
Pu 0.2500 0.2500 0.2500  12 Pd 4.00, 4 Gd 4.08
Gd 0.0000 0.0000 0.0000  4 Pd 2.46
Pd 0.8493 0.4522 0.8493  1 Gd 2.46, 3 Pd 2.64
Pd 0.8493 0.8493 0.8493  1 Gd 2.46, 3 Pd 2.64
Pd 0.4522 0.8493 0.8493  1 Gd 2.46, 3 Pd 2.64

***

Below is a relaxed LiZrTe2 crystal, with properties calculated at the PBE level.

Results
* magnetization: 0.60 μB per formula unit
* calculated volume: 26.24 Å³/atom
* uncorrected formation energy: -0.81 eV/atom
* final energy: -4.999 eV/atom

a = 7.5886 Å, b = 7.5886 Å, c = 7.5886 Å
α = 151.23°, β = 149.98°, γ = 42.06°
Last column: nearest neighbours and their distance in Å.
Atoms (fractional coordinates):
Zr 0.4458 0.4458 0.0000  6 Te 2.89-3.00
Te 0.0347 0.0347 0.0000  4 Zr 3.00
Te 0.2907 0.7907 0.5000  4 Li 2.86, 2 Zr 2.89
Li 0.7287 0.2287 0.5000  4 Te 2.86

***

Below is a relaxed NaCdPd4 crystal, with properties calculated at the PBE level.

Results
* magnetization: 0.00 μB per formula unit
* calculated volume: 18.00 Å³/atom
* energy above the most stable polymorph in this dataset: 0.000 eV per atom
* ΔE_f: -0.9 eV per formula unit
* final energy: -3.988 eV/atom

a = 5.3457 Å, b = 5.3457 Å, c = 5.3457 Å
α = 60.00°, β = 60.00°, γ = 60.00°
Last column: nearest neighbours and their distance in Å.
Atoms (fractional coordinates):
Pd 0.6252 0.1245 0.6252  6 Pd 2.67-2.68
Pd 0.1245 0.6252 0.6252  6 Pd 2.67-2.68
Pd 0.6252 0.6252 0.1245  6 Pd 2.67-2.68
Cd 0.0000 0.0000 0.0000  12 Pd 3.13, 4 Na 3.27
Na 0.2500 0.2500 0.2500  12 Pd 3.13, 4 Cd 3.27
Pd 0.6252 0.6252 0.6252  6 Pd 2.67-2.68